Record 1
{
  "formula": "RbInO2",
  "functional": "PBE",
  "state": "relaxed",
  "formation_energy_uncorrected_ev_per_atom": -1.334,
  "spacegroup": "I4/mcm",
  "lattice": [[-3.543, 3.543, 3.080], [3.543, -3.543, 3.080], [3.543, 3.543, -3.080]],
  "species": ["Rb", "Rb", "In", "In", "O", "O", "O", "O"],
  "fractional_positions": [[0.250, 0.250, 0.000], [0.750, 0.750, 0.000], [0.250, 0.750, 0.500], [0.750, 0.250, 0.500], [0.146, 0.646, 0.792], [0.354, 0.146, 0.500], [0.646, 0.854, 0.500], [0.854, 0.354, 0.208]]
}

***

Record 2
{
  "formula": "K4Pm3HoSe8",
  "functional": "PBE",
  "state": "relaxed",
  "formation_energy_uncorrected_ev_per_atom": -1.758,
  "spacegroup": "R-3m",
  "lattice": [[4.290, 2.477, 7.698], [-4.290, 2.477, 7.698], [0.000, -4.953, 7.698]],
  "species": ["K", "K", "K", "K", "Pm", "Pm", "Pm", "Ho", "Se", "Se", "Se", "Se", "Se", "Se", "Se", "Se"],
  "fractional_positions": [[0.000, 0.000, 0.000], [0.000, 0.500, 0.500], [0.500, 0.000, 0.500], [0.500, 0.500, 0.000], [0.000, 0.000, 0.500], [0.000, 0.500, 0.000], [0.500, 0.000, 0.000], [0.500, 0.500, 0.500], [0.237, 0.237, 0.237], [0.242, 0.733, 0.733], [0.267, 0.267, 0.758], [0.267, 0.758, 0.267], [0.733, 0.242, 0.733], [0.733, 0.733, 0.242], [0.758, 0.267, 0.267], [0.763, 0.763, 0.763]]
}

***

Record 3
{
  "formula": "Y3Al3Cd2",
  "functional": "PBE",
  "state": "relaxed",
  "e_form_ev_per_atom": -0.40,
  "spacegroup": "Cmcm",
  "lattice": [[2.272, -5.596, 0.000], [2.272, 5.596, 0.000], [0.000, 0.000, 14.860]],
  "species": ["Y", "Y", "Y", "Y", "Y", "Y", "Al", "Al", "Al", "Al", "Al", "Al", "Cd", "Cd", "Cd", "Cd"],
  "fractional_positions": [[0.077, 0.923, 0.615], [0.077, 0.923, 0.885], [0.352, 0.648, 0.750], [0.648, 0.352, 0.250], [0.923, 0.077, 0.115], [0.923, 0.077, 0.385], [0.361, 0.639, 0.250], [0.399, 0.601, 0.544], [0.399, 0.601, 0.956], [0.601, 0.399, 0.044], [0.601, 0.399, 0.456], [0.639, 0.361, 0.750], [0.215, 0.785, 0.095], [0.215, 0.785, 0.405], [0.785, 0.215, 0.595], [0.785, 0.215, 0.905]]
}

***

Record 4
{
  "formula": "LaMgZr",
  "functional": "PBE",
  "state": "relaxed",
  "e_form_ev_per_atom": 0.65,
  "spacegroup": "F-43m",
  "lattice": [[0.000, 3.611, 3.611], [3.611, 0.000, 3.611], [3.611, 3.611, 0.000]],
  "species": ["La", "Mg", "Zr"],
  "fractional_positions": [[0.000, 0.000, 0.000], [0.750, 0.750, 0.750], [0.500, 0.500, 0.500]]
}